[1]
VASP calculation (PBE) on a relaxed FeSnS crystal.

The space group is Cm (No. 8) and the conventional cell measures 12.1451, 3.2001 and 5.6530 Å, with angles of 90.00, 100.64 and 90.00 degrees. Symmetry generates all atoms from Fe at (0.0000, 0.0000, 0.0000), Fe at (0.1930, 0.0000, 0.8374), Sn at (0.0075, 0.0000, 0.4888), Sn at (0.2696, 0.5000, 0.5293), S at (0.1396, 0.5000, 0.0774) and S at (0.3746, 0.0000, 0.9883).

The value obtained for the electronic total energy is -5.6830 eV/atom. Its uncorrected formation energy is -0.152 eV per atom. The density of states at the Fermi level comes out at 0.684 states/eV/atom.


[2]
VASP calculation (PBE) on a relaxed NpTlPO5 crystal.

The space group is C2/c (No. 15) and the conventional cell measures 7.3869, 9.8378 and 8.0009 Å, with angles of 90.00, 115.83 and 90.00 degrees. Symmetry generates all atoms from Np at (0.0000, 0.0000, 0.0000), Tl at (0.0000, 0.3341, 0.2500), P at (0.0000, 0.3117, 0.7500), O at (0.0000, 0.0627, 0.2500), O at (0.0721, 0.2192, 0.6309) and O at (0.1761, 0.4047, 0.8792).

The value obtained for the electronic total energy is -7.9833 eV/atom. Its uncorrected formation energy is -2.295 eV per atom. The density of states at the Fermi level comes out at 0.878 states/eV/atom.


[3]
VASP calculation (PBE) on a relaxed MnOs2S crystal.

The space group is I-42d (No. 122) and the conventional cell measures 5.2678, 5.2678 and 10.3258 Å, with angles of 90.00, 90.00 and 90.00 degrees. Symmetry generates all atoms from Mn at (0.0000, 0.0000, 0.0000), Os at (0.2481, 0.2500, 0.6250) and S at (0.0000, 0.0000, 0.5000).

The value obtained for the electronic total energy is -8.2002 eV/atom. Its uncorrected formation energy is 0.739 eV per atom. The density of states at the Fermi level comes out at 1.137 states/eV/atom.


[4]
VASP calculation (PBE) on a relaxed CuNiHg4 crystal.

The space group is F-43m (No. 216) and the conventional cell measures 8.0251, 8.0251 and 8.0251 Å, with angles of 90.00, 90.00 and 90.00 degrees. Symmetry generates all atoms from Cu at (0.0000, 0.0000, 0.0000), Ni at (0.2500, 0.2500, 0.2500) and Hg at (0.1249, 0.1249, 0.6249).

The value obtained for the electronic total energy is -1.1480 eV/atom. The density of states at the Fermi level comes out at 0.418 states/eV/atom. Its formation energy is 4.20 eV per formula unit.


[5]
VASP calculation (PBE) on a relaxed CsNaP3 crystal.

The space group is Pm-3m (No. 221) and the conventional cell measures 5.2086, 5.2086 and 5.2086 Å, with angles of 90.00, 90.00 and 90.00 degrees. Symmetry generates all atoms from Cs at (0.0000, 0.0000, 0.0000), Na at (0.5000, 0.5000, 0.5000) and P at (0.0000, 0.5000, 0.5000).

The value obtained for the electronic total energy is -2.7288 eV/atom. The density of states at the Fermi level comes out at 0.905 states/eV/atom. Its formation energy is 4.76 eV per formula unit. The value obtained for the energy above the most stable polymorph in this dataset is 0.000 eV/f.u.


[6]
VASP calculation (PBE) on a relaxed Sr3ScIn12 crystal.

The space group is P4/mmm (No. 123) and the conventional cell measures 4.8002, 4.8002 and 18.9419 Å, with angles of 90.00, 90.00 and 90.00 degrees. Symmetry generates all atoms from Sr at (0.0000, 0.0000, 0.0000), Sr at (0.0000, 0.0000, 0.2598), Sc at (0.0000, 0.0000, 0.5000), In at (0.0000, 0.5000, 0.1291), In at (0.0000, 0.5000, 0.3874), In at (0.5000, 0.5000, 0.0000), In at (0.5000, 0.5000, 0.2532) and In at (0.5000, 0.5000, 0.5000).

The value obtained for the electronic total energy is -3.0583 eV/atom. The density of states at the Fermi level comes out at 0.670 states/eV/atom. Its formation energy is -4.70 eV per formula unit.